Density functional theory data (PBE) for crystalline PmPr3Co at its relaxed geometry.

Structure (extended XYZ):
```
10
Lattice="6.886 -0.063 -2.750 -3.461 6.086 -2.444 0.233 0.053 7.434" Properties=species:S:1:pos:R:3 pbc="T T T"
Pm 4.877 0.264 3.523
Pm -1.218 5.812 -1.283
Pr 5.675 0.235 -0.246
Pr 0.192 2.765 0.376
Pr 3.466 3.310 1.864
Pr 3.340 2.733 -1.847
Pr -2.016 5.841 2.486
Pr 0.318 3.343 4.086
Co 1.748 4.554 -0.784
Co 1.910 1.521 3.024
```

Summary:
E, eV per atom: -5.28
Magnetization, μB/f.u.: 0.00